Entry 1:
First-principles (PBE) data for ZrReSnTe2 after structural relaxation, as listed in Alexandria via LeMat-Bulk.

Fermi-level density of states, states/eV per atom: 0.946
Mass density, g/cm3: 6.3
Electronic total energy, eV per atom: -4.471
Symmetry: P4/mmm
Formation energy without anion corrections, eV per atom: 1.786
V, Å³ per cell: 170.80
Crystal system: tetragonal

Unit cell a=5.570 b=5.570 c=5.505 alpha=90.00 beta=90.00 gamma=90.00
Positions (direct):
Zr1 0.000 0.000 0.000
Re1 0.500 0.500 0.000
Sn1 0.000 0.000 0.500
Te1 0.000 0.500 0.500
Te2 0.500 0.000 0.500

***

Entry 2:
First-principles (PBE) data for Th4ReSn after structural relaxation, as listed in Alexandria via LeMat-Bulk.

Fermi-level density of states, states/eV per atom: 1.276
Mass density, g/cm3: 11.8
Electronic total energy, eV per atom: -7.924
Symmetry: P4/mcc
V, Å³ per cell: 345.79
Formation energy, eV per atom: -0.236
Crystal system: tetragonal

Unit cell a=7.487 b=7.487 c=6.169 alpha=90.00 beta=90.00 gamma=90.00
Positions (direct):
Th1 0.142 0.318 0.000
Th2 0.142 0.682 0.500
Th3 0.318 0.142 0.500
Th4 0.318 0.858 0.000
Th5 0.682 0.142 0.000
Th6 0.682 0.858 0.500
Th7 0.858 0.318 0.500
Th8 0.858 0.682 0.000
Re1 0.000 0.000 0.250
Re2 0.000 0.000 0.750
Sn1 0.500 0.500 0.250
Sn2 0.500 0.500 0.750

***

Entry 3:
First-principles (PBE) data for Th7Re2Sn2 after structural relaxation, as listed in Alexandria via LeMat-Bulk.

Fermi-level density of states, states/eV per atom: 1.196
Mass density, g/cm3: 11.5
Electronic total energy, eV per atom: -7.881
Symmetry: Imm2
V, Å³ per cell: 323.81
Formation energy, eV per atom: -0.168
Crystal system: orthorhombic

Unit cell a=9.811 b=9.811 c=9.811 alpha=156.84 beta=66.58 gamma=118.56
Positions (direct):
Th1 0.000 0.000 0.000
Th2 0.049 0.368 0.681
Th3 0.078 0.729 0.349
Th4 0.381 0.729 0.651
Th5 0.442 0.575 0.867
Th6 0.688 0.368 0.319
Th7 0.707 0.575 0.133
Re1 0.294 0.060 0.234
Re2 0.826 0.060 0.766
Sn1 0.329 0.329 0.000
Sn2 0.732 0.232 0.500

***

Entry 4:
First-principles (PBE) data for Th3ReSn after structural relaxation, as listed in Alexandria via LeMat-Bulk.

Fermi-level density of states, states/eV per atom: 0.997
Mass density, g/cm3: 10.8
Electronic total energy, eV per atom: -7.838
Symmetry: Cmmm
V, Å³ per cell: 306.99
Formation energy, eV per atom: -0.096
Crystal system: orthorhombic

Unit cell a=8.428 b=8.428 c=5.277 alpha=90.00 beta=90.00 gamma=125.01
Positions (direct):
Th1 0.000 0.500 0.500
Th2 0.130 0.870 0.000
Th3 0.306 0.306 0.500
Th4 0.500 0.000 0.500
Th5 0.694 0.694 0.500
Th6 0.870 0.130 0.000
Re1 0.105 0.895 0.500
Re2 0.895 0.105 0.500
Sn1 0.360 0.640 0.000
Sn2 0.640 0.360 0.000

***

Entry 5:
First-principles (PBE) data for Th8ReSn2 after structural relaxation, as listed in Alexandria via LeMat-Bulk.

Fermi-level density of states, states/eV per atom: 1.247
Mass density, g/cm3: 11.4
Electronic total energy, eV per atom: -7.357
Symmetry: C2/m
V, Å³ per cell: 332.85
Formation energy, eV per atom: -0.102
Crystal system: monoclinic

Unit cell a=9.741 b=9.741 c=6.853 alpha=108.80 beta=108.80 gamma=32.92
Positions (direct):
Th1 0.003 0.003 0.238
Th2 0.221 0.221 0.125
Th3 0.356 0.356 0.689
Th4 0.409 0.409 0.256
Th5 0.591 0.591 0.744
Th6 0.644 0.644 0.311
Th7 0.779 0.779 0.875
Th8 0.997 0.997 0.762
Re1 0.500 0.500 0.000
Sn1 0.170 0.170 0.614
Sn2 0.830 0.830 0.386

***

Entry 6:
First-principles (PBE) data for TiReSn3 after structural relaxation, as listed in Alexandria via LeMat-Bulk.

Fermi-level density of states, states/eV per atom: 2.842
Mass density, g/cm3: 7.1
Electronic total energy, eV per atom: -5.544
Symmetry: Pm-3m
V, Å³ per cell: 137.87
Formation energy, eV per atom: 0.927
Crystal system: cubic

Unit cell a=5.166 b=5.166 c=5.166 alpha=90.00 beta=90.00 gamma=90.00
Positions (direct):
Ti1 0.000 0.000 0.000
Re1 0.500 0.500 0.500
Sn1 0.000 0.500 0.500
Sn2 0.500 0.000 0.500
Sn3 0.500 0.500 0.000

***

Entry 7:
First-principles (PBE) data for TiRe3Sn after structural relaxation, as listed in Alexandria via LeMat-Bulk.

Fermi-level density of states, states/eV per atom: 0.875
Mass density, g/cm3: 12.3
Electronic total energy, eV per atom: -8.078
Symmetry: Pm-3m
V, Å³ per cell: 97.99
Formation energy, eV per atom: 1.770
Crystal system: cubic

Unit cell a=4.610 b=4.610 c=4.610 alpha=90.00 beta=90.00 gamma=90.00
Positions (direct):
Ti1 0.000 0.000 0.000
Re1 0.000 0.000 0.500
Re2 0.000 0.500 0.000
Re3 0.500 0.000 0.000
Sn1 0.500 0.500 0.500

***

Entry 8:
First-principles (PBE) data for Ti3Re2Sn after structural relaxation, as listed in Alexandria via LeMat-Bulk.

Fermi-level density of states, states/eV per atom: 0.260
Mass density, g/cm3: 10.8
Electronic total energy, eV per atom: -9.161
Symmetry: P4/mmm
V, Å³ per cell: 98.04
Formation energy, eV per atom: -0.397
Crystal system: tetragonal

Unit cell a=3.240 b=3.240 c=9.338 alpha=90.00 beta=90.00 gamma=90.00
Positions (direct):
Ti1 0.000 0.000 0.000
Ti2 0.000 0.000 0.312
Ti3 0.000 0.000 0.688
Re1 0.500 0.500 0.166
Re2 0.500 0.500 0.834
Sn1 0.500 0.500 0.500

***

Number 1: spin magnetization 3.13 μB per formula unit. Number 2: spin magnetization 0.00 μB per formula unit. Number 3: spin magnetization 0.00 μB per formula unit. Number 4: spin magnetization 0.00 μB per formula unit. Number 5: spin magnetization 0.00 μB per formula unit. Number 6: spin magnetization 0.27 μB per formula unit. Number 7: spin magnetization 2.14 μB per formula unit. Number 8: spin magnetization 0.00 μB per formula unit.